A relaxed structure of Zr11VO24. Source: Alexandria, functional GGA+U.

## Properties
- calculated volume (Å³/atom) = 12.1
- distance to the lowest polymorph of the same formula (eV per atom) = 0.000

The structure in extended XYZ format:
```
36
Lattice="6.895 0.035 0.010 -3.241 6.576 -0.024 -0.271 -0.753 9.603" Properties=species:S:1:pos:R:3 pbc="T T T"
Zr -1.579 6.249 0.040
Zr 3.443 0.833 2.862
Zr -0.106 2.525 9.269
Zr -0.005 5.032 6.716
Zr -0.122 0.843 3.561
Zr 1.624 2.058 6.313
Zr -1.647 4.455 3.116
Zr 1.717 3.825 3.322
Zr 3.476 3.326 0.334
Zr 4.962 -0.405 9.532
Zr 5.062 1.317 6.484
O 3.636 3.167 6.269
O 3.199 1.078 0.720
O 0.170 4.793 8.861
O 5.418 0.596 1.971
O -1.366 4.233 0.837
O 4.802 1.153 4.449
O -1.448 4.844 5.170
O 1.517 3.555 1.238
O 3.719 3.108 2.493
O 1.374 -0.119 2.330
O 4.726 1.588 8.725
O 0.147 0.622 5.716
O -0.296 2.877 3.269
O -2.037 5.274 7.577
O -0.382 2.757 7.127
O 0.341 5.392 3.116
O 3.071 0.521 6.508
O 1.254 3.946 5.455
O 3.348 5.357 0.054
O 1.864 2.334 8.347
O 3.250 5.207 4.018
O 2.054 5.877 7.152
O 1.929 1.780 4.058
O 0.044 0.499 9.516
V 3.737 4.951 6.073
```